# TbScRhPb | the Alexandria database | PBE | relaxed
data_TbScRhPb
_chemical_formula_sum 'Tb1 Sc1 Rh1 Pb1'
_cell_length_a 5.024
_cell_length_b 5.024
_cell_length_c 5.024
_cell_angle_alpha 60.00
_cell_angle_beta 60.00
_cell_angle_gamma 60.00
_space_group_name_H-M_alt 'P 1'
_space_group_IT_number 1
_space_group_name_Hall 'P 1'
loop_
_atom_site_label
_atom_site_type_symbol
_atom_site_fract_x
_atom_site_fract_y
_atom_site_fract_z
Tb1 Tb 0.000 0.000 0.000
Sc1 Sc 0.500 0.500 0.500
Rh1 Rh 0.250 0.250 0.250
Pb1 Pb 0.750 0.750 0.750
# * D(E_F): 2.8 states/eV/cell
# * formation energy: -0.50 eV/atom
# * SG: F-43m